Entry 1:
A relaxed structure of MgCu2Se4. Source: the Alexandria database, functional PBE.

a b c (Å): 7.569 7.569 7.569
angles (deg): 124.41 124.41 82.53
Sites, in units of the cell vectors:
Se: 0.180 0.055 0.500
Se: 0.555 0.680 0.500
Se: 0.820 0.945 0.500
Se: 0.680 0.180 0.125
Se: 0.055 0.555 0.875
Se: 0.945 0.445 0.125
Se: 0.445 0.320 0.500
Se: 0.320 0.820 0.875
Mg: 0.250 0.250 0.000
Mg: 0.750 0.750 0.000
Cu: 0.376 0.876 0.253
Cu: 0.624 0.124 0.747
Cu: 0.876 0.624 0.500
Cu: 0.124 0.376 0.500

Values from the calculation:
As for the electronic total energy: -3.605 eV per atom. For the formation energy from raw total energies, the calculation gives -0.2160 eV per atom. The crystal system is tetragonal. The energy above the most stable polymorph in this dataset comes out at 0 meV/atom.

Entry 2:
A relaxed structure of SrLiPdPb. Source: the Alexandria database, functional PBE.

a b c (Å): 5.073 5.073 5.073
angles (deg): 60.00 60.00 60.00
Sites, in units of the cell vectors:
Pb: 0.750 0.750 0.750
Sr: 0.250 0.250 0.250
Li: 0.000 0.000 0.000
Pd: 0.500 0.500 0.500

Values from the calculation:
As for the electronic total energy: -3.559 eV per atom. The formation energy comes out at -1.7 eV/f.u. The crystal system is cubic. The energy above the most stable polymorph in this dataset comes out at 47 meV/atom.

Entry 3:
A relaxed structure of Cs3Ba3IO8. Source: the Alexandria database, functional PBE.

a b c (Å): 7.814 7.814 8.305
angles (deg): 118.06 90.00 120.00
Sites, in units of the cell vectors:
O: 0.829 0.014 0.343
O: 0.829 0.658 0.343
O: 0.815 0.986 0.657
O: 0.171 0.986 0.657
O: 0.171 0.342 0.657
O: 0.728 0.457 0.685
O: 0.272 0.543 0.315
O: 0.185 0.014 0.343
Ba: 0.500 0.500 0.500
Ba: 0.500 0.000 0.500
Ba: 0.000 0.500 0.500
Cs: 0.000 0.500 0.000
Cs: 0.000 0.000 0.000
Cs: 0.500 0.500 0.000
I: 0.000 0.000 0.500

Values from the calculation:
As for the electronic total energy: -4.920 eV per atom. For the formation energy from raw total energies, the calculation gives -1.6166 eV per atom. The crystal system is trigonal.

Entry 4:
A relaxed structure of CePaGaRe. Source: the Alexandria database, functional PBE.

a b c (Å): 4.835 4.835 4.835
angles (deg): 60.00 60.00 60.00
Last column: magnetic moment on the atom in μB.
Sites, in units of the cell vectors:
Pa: 0.750 0.750 0.750  0.38
Ga: 0.250 0.250 0.250  0.00
Ce: 0.500 0.500 0.500  0.45
Re: 0.000 0.000 0.000  -0.12

Values from the calculation:
As for the electronic total energy: -7.813 eV per atom. The formation energy comes out at -0.3 eV/f.u. The crystal system is cubic.

Entry 5:
A relaxed structure of Ba4NaPm3S8. Source: the Alexandria database, functional PBE.

a b c (Å): 8.511 8.644 8.512
angles (deg): 119.50 120.00 90.00
Sites, in units of the cell vectors:
Ba: 0.000 0.000 0.500
Ba: 0.500 0.000 0.000
Ba: 0.500 0.000 0.500
Ba: 0.000 0.000 0.000
S: 0.740 0.718 0.479
S: 0.245 0.720 0.489
S: 0.260 0.282 0.521
S: 0.756 0.281 0.025
S: 0.269 0.281 0.025
S: 0.755 0.280 0.511
S: 0.731 0.719 0.975
S: 0.244 0.719 0.975
Na: 0.000 0.500 0.000
Pm: 0.000 0.500 0.500
Pm: 0.500 0.500 0.000
Pm: 0.500 0.500 0.500

Values from the calculation:
As for the electronic total energy: -5.482 eV per atom. For the formation energy from raw total energies, the calculation gives -1.9640 eV per atom. The crystal system is trigonal.

Entry 6:
A relaxed structure of CdRuRh2. Source: the Alexandria database, functional PBE.

a b c (Å): 2.797 2.797 7.867
angles (deg): 90.00 90.00 90.00
Sites, in units of the cell vectors:
Rh: 0.000 0.000 0.228
Rh: 0.000 0.000 0.772
Cd: 0.500 0.500 0.500
Ru: 0.500 0.500 0.000

Values from the calculation:
As for the electronic total energy: -6.227 eV per atom. The formation energy comes out at 0.0 eV/f.u. The crystal system is tetragonal.

Entry 7:
A relaxed structure of K2GePt3. Source: the Alexandria database, functional PBE.

a b c (Å): 5.376 5.376 5.376
angles (deg): 64.42 64.42 64.42
Sites, in units of the cell vectors:
Pt: 0.000 0.000 0.500
Pt: 0.000 0.500 0.000
Pt: 0.500 0.000 0.000
K: 0.380 0.380 0.380
K: 0.620 0.620 0.620
Ge: 0.000 0.000 0.000

Values from the calculation:
As for the electronic total energy: -4.419 eV per atom. The formation energy comes out at -1.6 eV/f.u. The crystal system is trigonal.

Entry 8:
A relaxed structure of Cu2TePd. Source: the Alexandria database, functional PBE.

a b c (Å): 7.274 7.274 5.786
angles (deg): 51.05 51.05 90.00
Sites, in units of the cell vectors:
Pd: 0.500 0.500 0.000
Pd: 0.250 0.750 0.500
Cu: 0.127 0.625 0.250
Cu: 0.623 0.125 0.250
Cu: 0.875 0.873 0.750
Cu: 0.375 0.377 0.750
Te: 0.000 0.000 0.000
Te: 0.750 0.250 0.500

Values from the calculation:
As for the electronic total energy: -4.006 eV per atom. For the formation energy from raw total energies, the calculation gives 0.1259 eV per atom. The crystal system is tetragonal.

Entry 9:
A relaxed structure of Li3GaRh. Source: the Alexandria database, functional PBE.

a b c (Å): 4.515 5.080 7.685
angles (deg): 70.70 90.00 90.00
Sites, in units of the cell vectors:
Li: 0.000 0.000 0.000
Li: 0.250 0.123 0.292
Li: 0.750 0.414 0.708
Li: 0.250 0.586 0.292
Li: 0.500 0.000 0.000
Li: 0.750 0.877 0.708
Rh: 0.250 0.707 0.585
Rh: 0.750 0.293 0.415
Ga: 0.250 0.185 0.630
Ga: 0.750 0.815 0.370

Values from the calculation:
As for the electronic total energy: -3.301 eV per atom. The formation energy comes out at -0.4 eV/f.u. The crystal system is orthorhombic. The energy above the most stable polymorph in this dataset comes out at 161 meV/atom.

Entry 10:
A relaxed structure of GdDyPu2. Source: the Alexandria database, functional PBE.

a b c (Å): 5.035 4.840 4.840
angles (deg): 90.00 90.00 90.00
Last column: magnetic moment on the atom in μB.
Sites, in units of the cell vectors:
Pu: 0.000 0.500 0.000  5.57
Pu: 0.000 0.000 0.500  5.57
Dy: 0.500 0.000 0.000  0.28
Gd: 0.500 0.500 0.500  7.28

Values from the calculation:
As for the electronic total energy: -11.652 eV per atom. The formation energy comes out at 0.7 eV/f.u. The crystal system is tetragonal. The energy above the most stable polymorph in this dataset comes out at 0 meV/atom.

Entry 11:
A relaxed structure of HgPb2Cl. Source: the Alexandria database, functional PBE.

a b c (Å): 7.272 7.272 7.272
angles (deg): 151.60 139.60 50.12
Sites, in units of the cell vectors:
Hg: 0.220 0.720 0.500
Pb: 0.782 0.282 0.500
Pb: 0.002 0.002 0.000
Cl: 0.497 0.497 0.000

Values from the calculation:
As for the electronic total energy: -2.653 eV per atom. For the formation energy from raw total energies, the calculation gives -0.2614 eV per atom. The crystal system is orthorhombic. The energy above the most stable polymorph in this dataset comes out at 31 meV/atom.

Entry 12:
A relaxed structure of SiHg. Source: the Alexandria database, functional PBE.

a b c (Å): 8.292 8.292 8.292
angles (deg): 90.00 90.00 90.00
Sites, in units of the cell vectors:
Si: 0.893 0.893 0.107
Si: 0.607 0.607 0.607
Si: 0.607 0.393 0.393
Si: 0.393 0.607 0.393
Si: 0.393 0.393 0.607
Si: 0.107 0.893 0.893
Si: 0.893 0.107 0.893
Si: 0.107 0.107 0.107
Hg: 0.211 0.789 0.211
Hg: 0.711 0.289 0.711
Hg: 0.289 0.711 0.711
Hg: 0.789 0.789 0.789
Hg: 0.711 0.711 0.289
Hg: 0.289 0.289 0.289
Hg: 0.211 0.211 0.789
Hg: 0.789 0.211 0.211

Values from the calculation:
As for the electronic total energy: -2.336 eV per atom. For the formation energy from raw total energies, the calculation gives 0.5267 eV per atom. The crystal system is cubic. The energy above the most stable polymorph in this dataset comes out at 381 meV/atom.

Number 1: DOS at the Fermi energy 0.539 states/eV per atom. Number 2: DOS at the Fermi energy 0.857 states/eV per atom. Number 3: DOS at the Fermi energy 0.225 states/eV per atom. Number 4: DOS at the Fermi energy 1.465 states/eV per atom. Number 5: DOS at the Fermi energy 0.314 states/eV per atom. Number 6: DOS at the Fermi energy 0.890 states/eV per atom. Number 7: DOS at the Fermi energy 0.425 states/eV per atom. Number 8: DOS at the Fermi energy 0.223 states/eV per atom. Number 9: DOS at the Fermi energy 0.452 states/eV per atom. Number 10: DOS at the Fermi energy 3.618 states/eV per atom. Number 11: DOS at the Fermi energy 0.569 states/eV per atom. Number 12: DOS at the Fermi energy 0.426 states/eV per atom.